Computed, not measured: a relaxed structure of LiAsIrRh at the PBE level of DFT.

Computed properties:
ΔE_f   -0.38 eV per atom
Total DFT energy (no corrections)   -6.075 eV/atom

abc: 4.216 4.216 4.216
angles: 60.00 60.00 60.00
Fractional coordinates of all 4 atoms:
Li: 0.000 0.000 0.000
As: 0.500 0.500 0.500
Ir: 0.250 0.250 0.250
Rh: 0.750 0.750 0.750